# 1
# PBE Ba2TcAs, relaxed
data_Ba2TcAs
_cell_length_a 5.8314
_cell_length_b 5.8314
_cell_length_c 5.8314
_cell_angle_alpha 125.48
_cell_angle_beta 125.48
_cell_angle_gamma 80.75
_space_group_name_H-M_alt 'P 1'
_space_group_IT_number 1
loop_
_space_group_symop_operation_xyz
'x,y,z'
loop_
_atom_site_label
_atom_site_type_symbol
_atom_site_fract_x
_atom_site_fract_y
_atom_site_fract_z
_atom_site_occupancy
Ba1 Ba 0.2500 0.7500 0.5000 1
Ba2 Ba 0.7500 0.2500 0.5000 1
Tc1 Tc 0.0000 0.0000 0.0000 1
As1 As 0.5000 0.5000 0.0000 1
# * formation energy from the elements: 0.372 eV/atom


# 2
# PBE TbThBeAl, relaxed
data_TbThBeAl
_cell_length_a 5.0724
_cell_length_b 5.0724
_cell_length_c 5.0724
_cell_angle_alpha 60.00
_cell_angle_beta 60.00
_cell_angle_gamma 60.00
_space_group_name_H-M_alt 'P 1'
_space_group_IT_number 1
loop_
_space_group_symop_operation_xyz
'x,y,z'
loop_
_atom_site_label
_atom_site_type_symbol
_atom_site_fract_x
_atom_site_fract_y
_atom_site_fract_z
_atom_site_occupancy
Tb1 Tb 0.0000 0.0000 0.0000 1
Th1 Th 0.5000 0.5000 0.5000 1
Be1 Be 0.2500 0.2500 0.2500 1
Al1 Al 0.7500 0.7500 0.7500 1
# * formation energy from the elements: -0.050 eV/atom


# 3
# PBE Ca2SnPd6, relaxed
data_Ca2SnPd6
_cell_length_a 5.7963
_cell_length_b 5.7963
_cell_length_c 6.0218
_cell_angle_alpha 90.00
_cell_angle_beta 90.00
_cell_angle_gamma 120.00
_space_group_name_H-M_alt 'P 1'
_space_group_IT_number 1
loop_
_space_group_symop_operation_xyz
'x,y,z'
loop_
_atom_site_label
_atom_site_type_symbol
_atom_site_fract_x
_atom_site_fract_y
_atom_site_fract_z
_atom_site_occupancy
Ca1 Ca 0.3333 0.6667 0.1706 1
Ca2 Ca 0.6667 0.3333 0.8294 1
Sn1 Sn 0.0000 0.0000 0.0000 1
Pd1 Pd 0.1751 0.3503 0.6794 1
Pd2 Pd 0.1751 0.8249 0.6794 1
Pd3 Pd 0.3503 0.1751 0.3206 1
Pd4 Pd 0.6497 0.8249 0.6794 1
Pd5 Pd 0.8249 0.1751 0.3206 1
Pd6 Pd 0.8249 0.6497 0.3206 1
# * formation energy from the elements: -0.592 eV/atom
# * energy above the most stable polymorph in this dataset: 0.0142 eV per atom


# 4
# PBE PrScSi, relaxed
data_PrScSi
_cell_length_a 7.8406
_cell_length_b 7.8406
_cell_length_c 7.8406
_cell_angle_alpha 145.30
_cell_angle_beta 145.30
_cell_angle_gamma 49.89
_space_group_name_H-M_alt 'P 1'
_space_group_IT_number 1
loop_
_space_group_symop_operation_xyz
'x,y,z'
loop_
_atom_site_label
_atom_site_type_symbol
_atom_site_fract_x
_atom_site_fract_y
_atom_site_fract_z
_atom_site_occupancy
Pr1 Pr 0.1426 0.1426 0.0000 1
Pr2 Pr 0.8574 0.8574 0.0000 1
Sc1 Sc 0.3917 0.3917 0.0000 1
Sc2 Sc 0.6083 0.6083 0.0000 1
Si1 Si 0.0000 0.5000 0.5000 1
Si2 Si 0.5000 0.0000 0.5000 1
# * energy above the most stable polymorph in this dataset: 0.3464 eV per atom
# * uncorrected formation energy: -0.267 eV/atom


# 5
# PBE SbOsBr2, relaxed
data_SbOsBr2
_cell_length_a 4.8542
_cell_length_b 3.3619
_cell_length_c 5.5027
_cell_angle_alpha 90.00
_cell_angle_beta 110.30
_cell_angle_gamma 90.00
_space_group_name_H-M_alt 'P 1'
_space_group_IT_number 1
loop_
_space_group_symop_operation_xyz
'x,y,z'
loop_
_atom_site_label
_atom_site_type_symbol
_atom_site_fract_x
_atom_site_fract_y
_atom_site_fract_z
_atom_site_occupancy
Sb1 Sb 0.0000 0.0000 0.0000 1
Os1 Os 0.0000 0.5000 0.5000 1
Br1 Br 0.5000 0.0000 0.5000 1
Br2 Br 0.5000 0.5000 0.0000 1
# * energy above the most stable polymorph in this dataset: 0.7508 eV per atom
# * uncorrected formation energy: 1.030 eV/atom


# 6
# PBE CaGaTe, relaxed
data_CaGaTe
_cell_length_a 10.0177
_cell_length_b 10.0177
_cell_length_c 10.0177
_cell_angle_alpha 27.90
_cell_angle_beta 27.90
_cell_angle_gamma 27.90
_space_group_name_H-M_alt 'P 1'
_space_group_IT_number 1
loop_
_space_group_symop_operation_xyz
'x,y,z'
loop_
_atom_site_label
_atom_site_type_symbol
_atom_site_fract_x
_atom_site_fract_y
_atom_site_fract_z
_atom_site_occupancy
Ca1 Ca 0.0685 0.0685 0.0685 1
Ca2 Ca 0.9315 0.9315 0.9315 1
Ga1 Ga 0.3245 0.3245 0.3245 1
Ga2 Ga 0.6755 0.6755 0.6755 1
Te1 Te 0.2257 0.2257 0.2257 1
Te2 Te 0.7743 0.7743 0.7743 1
# * uncorrected formation energy: -0.820 eV/atom


# 7
# PBE TbPm2Y3Se6, relaxed
data_TbPm2Y3Se6
_cell_length_a 7.1387
_cell_length_b 7.1387
_cell_length_c 7.1691
_cell_angle_alpha 99.51
_cell_angle_beta 99.51
_cell_angle_gamma 120.28
_space_group_name_H-M_alt 'P 1'
_space_group_IT_number 1
loop_
_space_group_symop_operation_xyz
'x,y,z'
loop_
_atom_site_label
_atom_site_type_symbol
_atom_site_fract_x
_atom_site_fract_y
_atom_site_fract_z
_atom_site_occupancy
Tb1 Tb 0.0000 0.0000 0.0000 1
Pm1 Pm 0.3328 0.6672 0.0000 1
Pm2 Pm 0.6672 0.3328 0.0000 1
Y1 Y 0.1707 0.8293 0.5000 1
Y2 Y 0.5000 0.5000 0.5000 1
Y3 Y 0.8293 0.1707 0.5000 1
Se1 Se 0.0855 0.4126 0.2560 1
Se2 Se 0.2410 0.2410 0.7411 1
Se3 Se 0.4126 0.0855 0.2560 1
Se4 Se 0.5874 0.9145 0.7440 1
Se5 Se 0.7590 0.7590 0.2589 1
Se6 Se 0.9145 0.5874 0.7440 1
# * uncorrected formation energy: -1.793 eV/atom


# 8
# PBE CoMo2As, relaxed
data_CoMo2As
_cell_length_a 3.2474
_cell_length_b 4.1856
_cell_length_c 4.2332
_cell_angle_alpha 90.00
_cell_angle_beta 90.00
_cell_angle_gamma 90.00
_space_group_name_H-M_alt 'P 1'
_space_group_IT_number 1
loop_
_space_group_symop_operation_xyz
'x,y,z'
loop_
_atom_site_label
_atom_site_type_symbol
_atom_site_fract_x
_atom_site_fract_y
_atom_site_fract_z
_atom_site_occupancy
Co1 Co 0.0000 0.0000 0.0000 1
Mo1 Mo 0.0000 0.5000 0.5000 1
Mo2 Mo 0.5000 0.5000 0.0000 1
As1 As 0.5000 0.0000 0.5000 1
# * formation energy from the elements: 0.160 eV/atom


no.,final energy (eV per cell)
1,-17.375
2,-19.719
3,-44.490
4,-34.673
5,-14.578
6,-21.261
7,-75.945
8,-32.779